No. 1
A geometry-optimized ErLu3 structure, computed with PBE-GGA.

Computed properties:
* E: -4.535 eV/atom

The structure in POSCAR format:
```
ErLu3
1.0
-3.001 -1.762 -0.601
1.666 -1.097 -5.106
2.633 -5.156 1.967
Lu Er
3 1
Cartesian
1.526 -5.725 -1.214 Lu
-0.183 -3.460 0.683 Lu
2.632 -5.154 1.966 Lu
1.712 -2.270 -1.896 Er
```

No. 2
A geometry-optimized Er3Lu structure, computed with PBE-GGA.

Computed properties:
* E: -4.556 eV/atom

The structure in POSCAR format:
```
Er3Lu
1.0
-2.876 1.092 1.799
-3.138 -0.958 -4.435
-0.978 -5.775 1.940
Er Lu
3 1
Cartesian
-1.926 -2.337 1.868 Er
-1.895 -2.404 -1.571 Er
-3.823 -4.748 0.300 Er
0.000 -0.001 0.000 Lu
```

No. 3
A geometry-optimized ErLu3 structure, computed with PBE-GGA.

Computed properties:
* E: -4.535 eV/atom

The structure in POSCAR format:
```
ErLu3
1.0
-1.269 3.251 0.537
-4.882 -1.340 -3.424
0.427 -2.728 5.913
Lu Er
3 1
Cartesian
-2.950 -1.331 1.089 Lu
-3.078 0.955 -1.445 Lu
-1.148 0.961 3.078 Lu
-4.879 -1.339 -3.422 Er
```

No. 4
A geometry-optimized Er2Lu structure, computed with PBE-GGA.

Computed properties:
* E: -4.294 eV/atom

The structure in POSCAR format:
```
Er2Lu
1.0
-5.645 1.731 -2.559
-5.324 -3.332 1.400
-4.550 2.620 3.719
Er Lu
4 2
Cartesian
-9.700 0.638 1.600 Er
-6.877 -0.228 2.880 Er
-7.424 -0.673 -0.260 Er
-7.037 2.303 0.900 Er
-3.880 0.255 0.640 Lu
0.000 0.000 0.000 Lu
```

No. 5
A geometry-optimized ErLu3 structure, computed with PBE-GGA.

Computed properties:
* E: -4.396 eV/atom

The structure in POSCAR format:
```
ErLu3
1.0
5.534 0.000 0.000
2.767 4.793 0.000
2.767 1.598 4.519
Lu Er
3 1
Cartesian
0.000 0.000 0.000 Lu
2.767 1.598 1.130 Lu
8.302 4.793 3.389 Lu
5.534 3.195 2.259 Er
```

No. 6
A geometry-optimized ErLu3 structure, computed with PBE-GGA.

Computed properties:
* E: -4.496 eV/atom

The structure in POSCAR format:
```
ErLu3
1.0
4.897 0.000 0.000
0.000 4.897 0.000
0.000 0.000 4.897
Lu Er
3 1
Cartesian
0.000 2.449 2.449 Lu
2.449 2.449 0.000 Lu
2.449 0.000 2.449 Lu
0.000 0.000 0.000 Er
```